This record from Alexandria via LeMat-Bulk describes a relaxed LiAg2Br2 crystal. The functional is PBE.

Lattice parameters (Å, degrees): 7.764 7.764 4.004 90.00 90.00 90.00
Positions (direct):
Br 0.200 0.700 0.500
Br 0.700 0.800 0.500
Br 0.800 0.300 0.500
Br 0.300 0.200 0.500
Ag 0.377 0.877 0.000
Ag 0.877 0.623 0.000
Ag 0.623 0.123 0.000
Ag 0.123 0.377 0.000
Li 0.000 0.000 0.000
Li 0.500 0.500 0.000

Calculated values
Polymorph energy (0 for the lowest one) (eV/atom): 0.000
ΔE_f (raw) (eV/atom): -0.2406